Below is a PBEsol-optimized structure of Sm4GdS5, with properties calculated at the meta-GGA SCAN level.

The structure in CIF format:
```
data_Sm4GdS5
_chemical_formula_sum 'Sm4 Gd1 S5'
_cell_length_a 3.9360
_cell_length_b 5.5804
_cell_length_c 10.4356
_cell_angle_alpha 105.51
_cell_angle_beta 100.87
_cell_angle_gamma 90.00
_symmetry_space_group_name_H-M 'P 1'
_symmetry_Int_Tables_number 1
loop_
_symmetry_equiv_pos_as_xyz
'x,y,z'
loop_
_atom_site_label
_atom_site_type_symbol
_atom_site_fract_x
_atom_site_fract_y
_atom_site_fract_z
Sm1 Sm 0.6003 0.6003 0.2007
Sm2 Sm 0.1992 0.1992 0.3984
Sm3 Sm 0.8008 0.8008 0.6016
Sm4 Sm 0.3997 0.3997 0.7993
Gd1 Gd 0.0000 0.0000 0.0000
S1 S 0.4019 0.9019 0.8037
S2 S 0.2005 0.7005 0.4010
S3 S 0.7995 0.2995 0.5990
S4 S 0.0000 0.5000 0.0000
S5 S 0.5981 0.0981 0.1963
```

Its magnetic moment is 7.09 μB per cell. The space group is Immm, No. 71. Its energy relative to the elements, uncorrected is -2.26 eV/atom.

---

Below is a PBEsol-optimized structure of TaInI2O, with properties calculated at the meta-GGA SCAN level.

The structure in CIF format:
```
data_TaInI2O
_chemical_formula_sum 'Ta1 In1 I2 O1'
_cell_length_a 3.8893
_cell_length_b 5.7632
_cell_length_c 5.7632
_cell_angle_alpha 90.00
_cell_angle_beta 90.00
_cell_angle_gamma 90.00
_symmetry_space_group_name_H-M 'P 1'
_symmetry_Int_Tables_number 1
loop_
_symmetry_equiv_pos_as_xyz
'x,y,z'
loop_
_atom_site_label
_atom_site_type_symbol
_atom_site_fract_x
_atom_site_fract_y
_atom_site_fract_z
I1 I 0.0000 0.0000 0.5000
I2 I 0.0000 0.5000 0.0000
In1 In 0.5000 0.5000 0.5000
O1 O 0.5000 0.0000 0.0000
Ta1 Ta 0.0000 0.0000 0.0000
```

Its magnetic moment is 1.69 μB per cell. The space group is P4/mmm, No. 123. Its energy relative to the elements, uncorrected is -0.70 eV/atom.

---

Below is a PBEsol-optimized structure of Li2ZrCr, with properties calculated at the meta-GGA SCAN level.

The structure in CIF format:
```
data_Li2ZrCr
_chemical_formula_sum 'Li4 Zr2 Cr2'
_cell_length_a 4.9118
_cell_length_b 5.7047
_cell_length_c 5.7047
_cell_angle_alpha 79.32
_cell_angle_beta 64.50
_cell_angle_gamma 64.50
_symmetry_space_group_name_H-M 'P 1'
_symmetry_Int_Tables_number 1
loop_
_symmetry_equiv_pos_as_xyz
'x,y,z'
loop_
_atom_site_label
_atom_site_type_symbol
_atom_site_fract_x
_atom_site_fract_y
_atom_site_fract_z
Cr1 Cr 0.5000 0.0000 0.0000
Cr2 Cr 0.2500 0.5000 0.5000
Zr1 Zr 0.0000 0.0000 0.0000
Zr2 Zr 0.7500 0.5000 0.5000
Li1 Li 0.5959 0.0291 0.5291
Li2 Li 0.1541 0.9709 0.4709
Li3 Li 0.3750 0.4709 0.0291
Li4 Li 0.8750 0.5291 0.9709
```

Its magnetic moment is 3.30 μB per cell. The space group is I-42d, No. 122. The formation energy is 0.610 eV/atom.

---

Below is a PBEsol-optimized structure of CrHgRh2, with properties calculated at the meta-GGA SCAN level.

The structure in CIF format:
```
data_CrHgRh2
_chemical_formula_sum 'Cr1 Hg1 Rh2'
_cell_length_a 3.9596
_cell_length_b 3.9596
_cell_length_c 4.6667
_cell_angle_alpha 115.10
_cell_angle_beta 115.10
_cell_angle_gamma 90.00
_symmetry_space_group_name_H-M 'P 1'
_symmetry_Int_Tables_number 1
loop_
_symmetry_equiv_pos_as_xyz
'x,y,z'
loop_
_atom_site_label
_atom_site_type_symbol
_atom_site_fract_x
_atom_site_fract_y
_atom_site_fract_z
Cr1 Cr 0.5000 0.5000 0.0000
Hg1 Hg 0.0000 0.0000 0.0000
Rh1 Rh 0.7500 0.2500 0.5000
Rh2 Rh 0.2500 0.7500 0.5000
```

Its magnetic moment is 2.39 μB per cell. The space group is I4/mmm, No. 139. The formation energy is 0.027 eV/atom.

---

Below is a PBEsol-optimized structure of ScRu2Rh, with properties calculated at the meta-GGA SCAN level.

The structure in CIF format:
```
data_ScRu2Rh
_chemical_formula_sum 'Sc1 Ru2 Rh1'
_cell_length_a 2.9179
_cell_length_b 4.4310
_cell_length_c 4.5178
_cell_angle_alpha 90.00
_cell_angle_beta 90.00
_cell_angle_gamma 90.00
_symmetry_space_group_name_H-M 'P 1'
_symmetry_Int_Tables_number 1
loop_
_symmetry_equiv_pos_as_xyz
'x,y,z'
loop_
_atom_site_label
_atom_site_type_symbol
_atom_site_fract_x
_atom_site_fract_y
_atom_site_fract_z
Rh1 Rh 0.0000 0.5000 0.5000
Ru1 Ru 0.0000 0.0000 0.0000
Ru2 Ru 0.5000 0.5000 0.0000
Sc1 Sc 0.5000 0.0000 0.5000
```

Its magnetic moment is 1.80 μB per cell. The space group is Pmmm, No. 47. The formation energy is -0.215 eV/atom.

---

Below is a PBEsol-optimized structure of Cd3Cu, with properties calculated at the meta-GGA SCAN level.

The structure in CIF format:
```
data_Cd3Cu
_chemical_formula_sum 'Cd12 Cu4'
_cell_length_a 4.9592
_cell_length_b 7.4506
_cell_length_c 8.1186
_cell_angle_alpha 90.00
_cell_angle_beta 90.00
_cell_angle_gamma 90.00
_symmetry_space_group_name_H-M 'P 1'
_symmetry_Int_Tables_number 1
loop_
_symmetry_equiv_pos_as_xyz
'x,y,z'
loop_
_atom_site_label
_atom_site_type_symbol
_atom_site_fract_x
_atom_site_fract_y
_atom_site_fract_z
Cd1 Cd 0.9117 0.0172 0.2500
Cd2 Cd 0.4081 0.1721 0.0633
Cd3 Cd 0.4081 0.1721 0.4367
Cd4 Cd 0.9081 0.3279 0.5633
Cd5 Cd 0.9081 0.3279 0.9367
Cd6 Cd 0.4117 0.4828 0.7500
Cd7 Cd 0.5883 0.5172 0.2500
Cd8 Cd 0.0919 0.6721 0.0633
Cd9 Cd 0.0919 0.6721 0.4367
Cd10 Cd 0.5919 0.8279 0.5633
Cd11 Cd 0.5919 0.8279 0.9367
Cd12 Cd 0.0883 0.9828 0.7500
Cu1 Cu 0.5746 0.1344 0.7500
Cu2 Cu 0.0746 0.3656 0.2500
Cu3 Cu 0.9254 0.6344 0.7500
Cu4 Cu 0.4254 0.8656 0.2500
```

Its magnetic moment is 0.00 μB per cell. The space group is Pnma, No. 62. The formation energy is 0.016 eV/atom.

---

Below is a PBEsol-optimized structure of U3Fe4Ge4, with properties calculated at the meta-GGA SCAN level.

The structure in CIF format:
```
data_U3Fe4Ge4
_chemical_formula_sum 'U3 Fe4 Ge4'
_cell_length_a 3.9352
_cell_length_b 6.3736
_cell_length_c 7.7689
_cell_angle_alpha 114.22
_cell_angle_beta 104.67
_cell_angle_gamma 90.00
_symmetry_space_group_name_H-M 'P 1'
_symmetry_Int_Tables_number 1
loop_
_symmetry_equiv_pos_as_xyz
'x,y,z'
loop_
_atom_site_label
_atom_site_type_symbol
_atom_site_fract_x
_atom_site_fract_y
_atom_site_fract_z
Ge1 Ge 0.2952 0.2952 0.5904
Ge2 Ge 0.7048 0.7048 0.4096
Ge3 Ge 0.0000 0.8048 0.0000
Ge4 Ge 0.0000 0.1952 0.0000
U1 U 0.3610 0.8610 0.7219
U2 U 0.6390 0.1390 0.2781
U3 U 0.5000 0.5000 0.0000
Fe1 Fe 0.1751 0.4607 0.3501
Fe2 Fe 0.8249 0.1106 0.6499
Fe3 Fe 0.8249 0.5393 0.6499
Fe4 Fe 0.1751 0.8894 0.3501
```

Its magnetic moment is 4.48 μB per cell. The space group is Immm, No. 71. The formation energy is -0.145 eV/atom.

---

Below is a PBEsol-optimized structure of Na2SnO2, with properties calculated at the meta-GGA SCAN level.

The structure in CIF format:
```
data_Na2SnO2
_chemical_formula_sum 'Na16 Sn8 O16'
_cell_length_a 5.7545
_cell_length_b 6.7740
_cell_length_c 16.7967
_cell_angle_alpha 90.00
_cell_angle_beta 90.00
_cell_angle_gamma 90.00
_symmetry_space_group_name_H-M 'P 1'
_symmetry_Int_Tables_number 1
loop_
_symmetry_equiv_pos_as_xyz
'x,y,z'
loop_
_atom_site_label
_atom_site_type_symbol
_atom_site_fract_x
_atom_site_fract_y
_atom_site_fract_z
Na1 Na 0.7500 0.8860 0.0000
Na2 Na 0.7500 0.3709 0.0000
Na3 Na 0.2500 0.6291 0.0000
Na4 Na 0.2500 0.1140 0.0000
Na5 Na 0.4193 0.8743 0.1492
Na6 Na 0.9193 0.1257 0.1492
Na7 Na 0.9193 0.6257 0.3508
Na8 Na 0.4193 0.3743 0.3508
Na9 Na 0.7500 0.8709 0.5000
Na10 Na 0.2500 0.6140 0.5000
Na11 Na 0.7500 0.3860 0.5000
Na12 Na 0.2500 0.1291 0.5000
Na13 Na 0.5807 0.6257 0.6492
Na14 Na 0.0807 0.3743 0.6492
Na15 Na 0.0807 0.8743 0.8508
Na16 Na 0.5807 0.1257 0.8508
Sn1 Sn 0.9329 0.6325 0.1589
Sn2 Sn 0.4329 0.3675 0.1589
Sn3 Sn 0.4329 0.8675 0.3411
Sn4 Sn 0.9329 0.1325 0.3411
Sn5 Sn 0.0671 0.8675 0.6589
Sn6 Sn 0.5671 0.1325 0.6589
Sn7 Sn 0.5671 0.6325 0.8411
Sn8 Sn 0.0671 0.3675 0.8411
O1 O 0.5595 0.1507 0.0886
O2 O 0.0595 0.8493 0.0886
O3 O 0.6136 0.5964 0.0982
O4 O 0.1136 0.4036 0.0982
O5 O 0.1136 0.9036 0.4018
O6 O 0.6136 0.0964 0.4018
O7 O 0.5595 0.6507 0.4114
O8 O 0.0595 0.3493 0.4114
O9 O 0.9405 0.6507 0.5886
O10 O 0.4405 0.3493 0.5886
O11 O 0.3864 0.9036 0.5982
O12 O 0.8864 0.0964 0.5982
O13 O 0.8864 0.5964 0.9018
O14 O 0.3864 0.4036 0.9018
O15 O 0.4405 0.8493 0.9114
O16 O 0.9405 0.1507 0.9114
```

Its magnetic moment is 0.00 μB per cell. The space group is Pbcn, No. 60. Its energy relative to the elements, uncorrected is -1.58 eV/atom.

---

Below is a PBEsol-optimized structure of In3AsOs, with properties calculated at the meta-GGA SCAN level.

The structure in CIF format:
```
data_In3AsOs
_chemical_formula_sum 'In3 As1 Os1'
_cell_length_a 5.0783
_cell_length_b 5.0783
_cell_length_c 5.0783
_cell_angle_alpha 90.00
_cell_angle_beta 90.00
_cell_angle_gamma 90.00
_symmetry_space_group_name_H-M 'P 1'
_symmetry_Int_Tables_number 1
loop_
_symmetry_equiv_pos_as_xyz
'x,y,z'
loop_
_atom_site_label
_atom_site_type_symbol
_atom_site_fract_x
_atom_site_fract_y
_atom_site_fract_z
As1 As 0.0000 0.0000 0.0000
Os1 Os 0.5000 0.5000 0.5000
In1 In 0.0000 0.5000 0.0000
In2 In 0.0000 0.0000 0.5000
In3 In 0.5000 0.0000 0.0000
```

Its magnetic moment is 2.02 μB per cell. The space group is Pm-3m, No. 221. The formation energy is 1.472 eV/atom.

---

Below is a PBEsol-optimized structure of Ba3Hg, with properties calculated at the meta-GGA SCAN level.

The structure in CIF format:
```
data_Ba3Hg
_chemical_formula_sum 'Ba12 Hg4'
_cell_length_a 7.6897
_cell_length_b 8.5160
_cell_length_c 11.2927
_cell_angle_alpha 90.00
_cell_angle_beta 90.00
_cell_angle_gamma 90.00
_symmetry_space_group_name_H-M 'P 1'
_symmetry_Int_Tables_number 1
loop_
_symmetry_equiv_pos_as_xyz
'x,y,z'
loop_
_atom_site_label
_atom_site_type_symbol
_atom_site_fract_x
_atom_site_fract_y
_atom_site_fract_z
Ba1 Ba 0.1264 0.0226 0.7500
Ba2 Ba 0.6264 0.4774 0.2500
Ba3 Ba 0.3736 0.5226 0.7500
Ba4 Ba 0.8736 0.9774 0.2500
Ba5 Ba 0.6750 0.1800 0.9390
Ba6 Ba 0.1750 0.3200 0.0610
Ba7 Ba 0.8250 0.6800 0.5610
Ba8 Ba 0.3250 0.8200 0.4390
Ba9 Ba 0.3250 0.8200 0.0610
Ba10 Ba 0.8250 0.6800 0.9390
Ba11 Ba 0.1750 0.3200 0.4390
Ba12 Ba 0.6750 0.1800 0.5610
Hg1 Hg 0.5477 0.8886 0.7500
Hg2 Hg 0.0477 0.6114 0.2500
Hg3 Hg 0.9523 0.3886 0.7500
Hg4 Hg 0.4523 0.1114 0.2500
```

Its magnetic moment is 3.30 μB per cell. The space group is Pnma, No. 62. The formation energy is -0.347 eV/atom.

---

Below is a PBEsol-optimized structure of P3Pb5O13, with properties calculated at the meta-GGA SCAN level.

The structure in CIF format:
```
data_P3Pb5O13
_chemical_formula_sum 'P6 Pb10 O26'
_cell_length_a 7.3351
_cell_length_b 9.7905
_cell_length_c 9.7905
_cell_angle_alpha 120.00
_cell_angle_beta 90.00
_cell_angle_gamma 90.00
_symmetry_space_group_name_H-M 'P 1'
_symmetry_Int_Tables_number 1
loop_
_symmetry_equiv_pos_as_xyz
'x,y,z'
loop_
_atom_site_label
_atom_site_type_symbol
_atom_site_fract_x
_atom_site_fract_y
_atom_site_fract_z
P1 P 0.2500 0.9690 0.5995
P2 P 0.7500 0.0310 0.4005
P3 P 0.2500 0.6306 0.0310
P4 P 0.7500 0.3694 0.9690
P5 P 0.2500 0.4005 0.3694
P6 P 0.7500 0.5995 0.6306
Pb1 Pb 0.4981 0.3333 0.6667
Pb2 Pb 0.5019 0.6667 0.3333
Pb3 Pb 0.9981 0.6667 0.3333
Pb4 Pb 0.0019 0.3333 0.6667
Pb5 Pb 0.2500 0.7645 0.7661
Pb6 Pb 0.7500 0.2355 0.2339
Pb7 Pb 0.2500 0.0016 0.2355
Pb8 Pb 0.7500 0.9984 0.7645
Pb9 Pb 0.2500 0.2339 0.9984
Pb10 Pb 0.7500 0.7661 0.0016
O1 O 0.2500 0.5205 0.8503
O2 O 0.7500 0.4795 0.1497
O3 O 0.2500 0.3298 0.4795
O4 O 0.7500 0.6702 0.5205
O5 O 0.2500 0.1497 0.6702
O6 O 0.7500 0.8503 0.3298
O7 O 0.2500 0.0000 0.0000
O8 O 0.7500 0.0000 0.0000
O9 O 0.2500 0.8830 0.4156
O10 O 0.7500 0.1170 0.5844
O11 O 0.2500 0.5327 0.1170
O12 O 0.7500 0.4673 0.8830
O13 O 0.2500 0.5844 0.4673
O14 O 0.7500 0.4156 0.5327
O15 O 0.4202 0.9126 0.6536
O16 O 0.5798 0.0874 0.3464
O17 O 0.4202 0.7409 0.0874
O18 O 0.9202 0.0874 0.3464
O19 O 0.5798 0.2591 0.9126
O20 O 0.0798 0.9126 0.6536
O21 O 0.4202 0.3464 0.2591
O22 O 0.9202 0.2591 0.9126
O23 O 0.5798 0.6536 0.7409
O24 O 0.0798 0.7409 0.0874
O25 O 0.9202 0.6536 0.7409
O26 O 0.0798 0.3464 0.2591
```

Its magnetic moment is 2.06 μB per cell. The space group is P6_3/m, No. 176. Its energy relative to the elements, uncorrected is -1.94 eV/atom.

---

Below is a PBEsol-optimized structure of NaMgZr3, with properties calculated at the meta-GGA SCAN level.

The structure in CIF format:
```
data_NaMgZr3
_chemical_formula_sum 'Na1 Mg1 Zr3'
_cell_length_a 5.1617
_cell_length_b 5.1617
_cell_length_c 5.1617
_cell_angle_alpha 90.00
_cell_angle_beta 90.00
_cell_angle_gamma 90.00
_symmetry_space_group_name_H-M 'P 1'
_symmetry_Int_Tables_number 1
loop_
_symmetry_equiv_pos_as_xyz
'x,y,z'
loop_
_atom_site_label
_atom_site_type_symbol
_atom_site_fract_x
_atom_site_fract_y
_atom_site_fract_z
Na1 Na 0.5000 0.5000 0.5000
Mg1 Mg 0.0000 0.0000 0.0000
Zr1 Zr 0.0000 0.5000 0.0000
Zr2 Zr 0.0000 0.0000 0.5000
Zr3 Zr 0.5000 0.0000 0.0000
```

Its magnetic moment is 0.99 μB per cell. The space group is Pm-3m, No. 221. The formation energy is 1.228 eV/atom.

---

Repeat the twelfth record exactly.
Below is a PBEsol-optimized structure of NaMgZr3, with properties calculated at the meta-GGA SCAN level.

The structure in CIF format:
```
data_NaMgZr3
_chemical_formula_sum 'Na1 Mg1 Zr3'
_cell_length_a 5.1617
_cell_length_b 5.1617
_cell_length_c 5.1617
_cell_angle_alpha 90.00
_cell_angle_beta 90.00
_cell_angle_gamma 90.00
_symmetry_space_group_name_H-M 'P 1'
_symmetry_Int_Tables_number 1
loop_
_symmetry_equiv_pos_as_xyz
'x,y,z'
loop_
_atom_site_label
_atom_site_type_symbol
_atom_site_fract_x
_atom_site_fract_y
_atom_site_fract_z
Na1 Na 0.5000 0.5000 0.5000
Mg1 Mg 0.0000 0.0000 0.0000
Zr1 Zr 0.0000 0.5000 0.0000
Zr2 Zr 0.0000 0.0000 0.5000
Zr3 Zr 0.5000 0.0000 0.0000
```

Its magnetic moment is 0.99 μB per cell. The space group is Pm-3m, No. 221. The formation energy is 1.228 eV/atom.

---

- Which value of magnetic moment does entry 9 give?
  2.02 μB per cell